[1]
# Rb3NdPa3Te8 | the Alexandria database | PBE | relaxed
# raw formation energy	-1028	meV/atom
# total magnetic moment	5.04	μB per formula unit
data_Rb3NdPa3Te8
_space_group_name_H-M_alt 'R -3 m'
_space_group_IT_number 166
_space_group_name_Hall '-R 3 2"'
_cell_length_a 8.8857
_cell_length_b 8.8857
_cell_length_c 26.5227
_cell_angle_alpha 90.00
_cell_angle_beta 90.00
_cell_angle_gamma 120.00
loop_
_atom_site_label
_atom_site_type_symbol
_atom_site_fract_x
_atom_site_fract_y
_atom_site_fract_z
Rb1 Rb 0.0000 0.5000 0.0000
Nd1 Nd 0.0000 0.0000 0.5000
Pa1 Pa 0.0000 0.5000 0.5000
Te1 Te 0.0000 0.0000 0.2349
Te2 Te 0.0098 0.5049 0.7650



[2]
# ThInSb2 | the Alexandria database | PBE | relaxed
# raw formation energy	-498	meV/atom
# total magnetic moment	0.00	μB per formula unit
data_ThInSb2
_space_group_name_H-M_alt 'P 4/m m m'
_space_group_IT_number 123
_space_group_name_Hall '-P 4 2'
_cell_length_a 4.156
_cell_length_b 4.156
_cell_length_c 6.625
_cell_angle_alpha 90.00
_cell_angle_beta 90.00
_cell_angle_gamma 90.00
loop_
_atom_site_label
_atom_site_type_symbol
_atom_site_fract_x
_atom_site_fract_y
_atom_site_fract_z
Th1 Th 0.000 0.000 0.000
In1 In 0.000 0.000 0.500
Sb1 Sb 0.500 0.500 0.237



Number 1: Fermi-level density of states 64.28 states/eV/cell, calculated volume 40.30 A^3/atom. Number 2: Fermi-level density of states 2.15 states/eV/cell, calculated volume 28.61 A^3/atom.